1.
Density functional theory data (PBE) for a relaxed KNa3Pa2Te6 crystal.

Unit cell a=4.4808 b=9.5267 c=10.1648 alpha=102.46 beta=102.73 gamma=90.00
Closest atoms and distances in Å follow each position.
Sites, in units of the cell vectors:
Pa (0.1649, 0.3346, 0.3298)  6 Te 2.96-3.15
Pa (0.8351, 0.6654, 0.6702)  6 Te 2.96-3.15
Na (0.8441, 0.1646, 0.6883)  6 Te 3.21-3.46
Na (0.5000, 0.5000, 0.0000)  6 Te 3.15-3.34
Na (0.1559, 0.8354, 0.3117)  6 Te 3.21-3.46
Te (0.0121, 0.2749, 0.0243)  1 Pa 2.96, 3 Na 3.15-3.26
Te (0.3214, 0.8833, 0.6428)  2 Pa 3.11, 3 Na 3.21-3.44, 1 K 3.47
Te (0.3273, 0.4310, 0.6547)  3 Pa 3.14-3.15, 3 Na 3.34-3.46
Te (0.6726, 0.5690, 0.3453)  3 Pa 3.14-3.15, 3 Na 3.34-3.46
Te (0.9879, 0.7251, 0.9757)  1 Pa 2.96, 3 Na 3.15-3.26
Te (0.6786, 0.1167, 0.3572)  2 Pa 3.11, 3 Na 3.21-3.44, 1 K 3.47
K (0.5000, 0.0000, 0.0000)  6 Te 3.41-3.47

Results
The calculated total energy comes out at -4.50 eV/atom. The raw formation energy comes out at -925 meV per atom. The space group is C2/m (12).

2.
Density functional theory data (PBE) for a relaxed K3NaPa3Te8 crystal.

Unit cell a=8.9896 b=8.9899 c=9.7851 alpha=117.35 beta=90.00 gamma=120.00
Closest atoms and distances in Å follow each position.
Sites, in units of the cell vectors:
Te (0.7536, 0.5072, 0.2904)  2 Pa 3.06, 1 Na 3.25
Te (0.2623, 0.5247, 0.2871)  3 Pa 3.14
Te (0.7377, 0.4753, 0.7129)  3 Pa 3.14
Te (0.2832, 0.0368, 0.2904)  2 Pa 3.06, 1 Na 3.25
Te (0.2464, 0.9632, 0.7096)  2 Pa 3.06, 1 Na 3.25
Te (0.7168, 0.9632, 0.7096)  2 Pa 3.06, 1 Na 3.25
Te (0.7536, 0.0368, 0.2904)  2 Pa 3.06, 1 Na 3.25
Te (0.2464, 0.4928, 0.7096)  2 Pa 3.06, 1 Na 3.25
Pa (0.0000, 0.5000, 0.5000)  6 Te 3.06-3.14
Pa (0.5000, 0.0000, 0.5000)  6 Te 3.06-3.14
Pa (0.5000, 0.5000, 0.5000)  6 Te 3.06-3.14
K (0.0000, 0.0000, 0.0000)  6 Te 3.52-3.60
K (0.5000, 0.5000, 0.0000)  6 Te 3.52-3.60
K (0.0000, 0.5000, 0.0000)  6 Te 3.52-3.60
Na (0.0000, 0.0000, 0.5000)  6 Te 3.25

Results
The calculated total energy comes out at -4.83 eV/atom. The raw formation energy comes out at -948 meV per atom. The space group is R-3m (166).

3.
Density functional theory data (PBE) for a relaxed KNa2PaTe4 crystal.

Unit cell a=8.3903 b=7.4734 c=7.4734 alpha=68.29 beta=55.85 gamma=55.85
Closest atoms and distances in Å follow each position.
Sites, in units of the cell vectors:
Pa (0.5000, 0.5000, 0.5000)  4 Te 2.89
Te (0.4486, 0.1298, 0.5514)  1 Pa 2.89, 2 Na 3.11
Te (0.5514, 0.4486, 0.8702)  1 Pa 2.89, 2 Na 3.11
Te (0.1298, 0.8702, 0.4486)  1 Pa 2.89, 2 Na 3.11
Te (0.8702, 0.5514, 0.1298)  1 Pa 2.89, 2 Na 3.11
K (0.0000, 0.0000, 0.0000)  8 Te 3.72-3.98
Na (0.2501, 0.2499, 0.2499)  4 Te 3.11
Na (0.7499, 0.7501, 0.7501)  4 Te 3.11

Results
The calculated total energy comes out at -4.00 eV/atom. The raw formation energy comes out at -772 meV per atom. The space group is I-42m (121).

4.
Density functional theory data (PBE) for a relaxed K2NaPb crystal.

Unit cell a=4.6929 b=4.6929 c=7.7124 alpha=90.00 beta=90.00 gamma=90.00
Closest atoms and distances in Å follow each position.
Sites, in units of the cell vectors:
Pb (0.5000, 0.5000, 0.0000)  8 K 3.75, 2 Na 3.86
Na (0.5000, 0.5000, 0.5000)  2 Pb 3.86, 8 K 3.93
K (0.0000, 0.0000, 0.2270)  1 K 3.50, 4 Pb 3.75
K (0.0000, 0.0000, 0.7730)  1 K 3.50, 4 Pb 3.75

Results
The calculated total energy comes out at -1.81 eV/atom. The space group is P4/mmm (123).